## LuCuNiBi (GGA-PBE)

Data for a relaxed structure of LuCuNiBi.

Cell: 4.6987 4.6987 4.6987 Å, 60.00 60.00 60.00°
Fractional positions:
Lu1 0.0000 0.0000 0.0000
Cu1 0.7500 0.7500 0.7500
Ni1 0.2500 0.2500 0.2500
Bi1 0.5000 0.5000 0.5000

Its crystal system is cubic. Its space group is F-43m (216). As for the energy: -4.688 eV per atom.

=====

## LuCuNiBi (GGA-PBE)

Data for a relaxed structure of LuCuNiBi.

Cell: 4.7655 4.7655 4.7655 Å, 60.00 60.00 60.00°
Fractional positions:
Lu1 0.0000 0.0000 0.0000
Cu1 0.5000 0.5000 0.5000
Ni1 0.7500 0.7500 0.7500
Bi1 0.2500 0.2500 0.2500

Its crystal system is cubic. Its space group is F-43m (216). As for the energy: -4.455 eV per atom.

=====

Question: Which value of energy does entry 1 give?
Answer: -4.688 eV per atom